The following is a DFT calculation (PBE) of a geometry-optimized InHgMo2 structure.

Results
Energy above the most stable polymorph in this dataset (meV per atom): 0
Crystal system: tetragonal
Formation enthalpy at 0 K (eV per atom): 0.32

a b c (Å): 3.2424 3.2424 7.3548
angles (deg): 90.00 90.00 90.00
Space group P4mm (No. 99)
Asymmetric unit:
In (0.0000, 0.0000, 0.0000) (multiplicity 1)
Hg (0.5000, 0.5000, 0.6932) (multiplicity 1)
Mo (0.0000, 0.0000, 0.4293) (multiplicity 1)
Mo (0.5000, 0.5000, 0.2537) (multiplicity 1)